# TaCr3, relaxed, DFT GGA-PBE
# DFT formation energy = 44 meV/atom
# final energy = -10.14 eV/atom
# density of states at the Fermi level = 4.278 states/eV per cell
# space group = Cmcm, No. 63
data_TaCr3
_symmetry_space_group_name_H-M 'P 1'
_symmetry_Int_Tables_number 1
_cell_length_a 5.1896
_cell_length_b 5.1896
_cell_length_c 4.1928
_cell_angle_alpha 90.00
_cell_angle_beta 90.00
_cell_angle_gamma 109.90
loop_
_symmetry_equiv_pos_as_xyz
'x,y,z'
loop_
_atom_site_label
_atom_site_fract_x
_atom_site_fract_y
_atom_site_fract_z
Ta1 0.1280 0.8720 0.7500
Ta2 0.8720 0.1280 0.2500
Cr1 0.1362 0.3817 0.7500
Cr2 0.3787 0.6213 0.2500
Cr3 0.3817 0.1362 0.2500
Cr4 0.6183 0.8638 0.7500
Cr5 0.6213 0.3787 0.7500
Cr6 0.8638 0.6183 0.2500